# 1
The following is a DFT calculation (PBE) of a relaxed RbBaBe crystal.

a = 4.310 Å, b = 8.248 Å, c = 8.836 Å
α = 78.27°, β = 89.53°, γ = 89.73°
Fractional positions:
Rb: 0.000 0.000 0.000
Rb: 0.498 0.506 0.956
Ba: 0.016 0.158 0.491
Ba: 0.516 0.682 0.453
Be: 0.009 0.817 0.694
Be: 0.509 0.879 0.701

Output
E_tot: -5.36 eV per formula unit
calculated density: 2.5 g/cm3
energy relative to the lowest polymorph listed for this composition: 0.448 eV/f.u.
ΔE_f: 418 meV per atom

***

# 2
The following is a DFT calculation (PBE) of a relaxed RbBaBe3 crystal.

a = 5.606 Å, b = 5.606 Å, c = 5.606 Å
α = 90.00°, β = 90.00°, γ = 90.00°
Fractional positions:
Rb: 0.000 0.000 0.000
Ba: 0.500 0.500 0.500
Be: 0.000 0.000 0.500
Be: 0.000 0.500 0.000
Be: 0.500 0.000 0.000

Output
E_tot: -5.62 eV per formula unit
calculated density: 2.4 g/cm3
energy relative to the lowest polymorph listed for this composition: 0.286 eV/f.u.
ΔE_f: 1690 meV per atom

***

# 3
The following is a DFT calculation (PBE) of a relaxed RbBaBe crystal.

a = 4.737 Å, b = 4.737 Å, c = 16.815 Å
α = 93.19°, β = 93.19°, γ = 54.33°
Fractional positions:
Rb: 0.000 0.000 0.000
Rb: 0.675 0.675 0.743
Ba: 0.323 0.323 0.257
Ba: 0.352 0.352 0.488
Be: 0.037 0.037 0.372
Be: 0.637 0.637 0.372

Output
E_tot: -5.81 eV per formula unit
calculated density: 2.5 g/cm3
energy relative to the lowest polymorph listed for this composition: 0.000 eV/f.u.
ΔE_f: 269 meV per atom